VASP calculation (PBE) on an optimized crystal structure of Sr4CoRu.

Output
ΔH_f (0 K): 1.433 eV/atom
Size of the total moment: 1.42 μB per formula unit
E_tot: -2.419 eV/atom

Cell: 6.574 6.574 6.574 Å, 60.00 60.00 60.00°
Each line ends with the local moment (μB).
Element x y z (fractional)
Sr  0.876  0.375  0.375  -0.12
Sr  0.375  0.375  0.876  -0.12
Sr  0.375  0.876  0.375  -0.12
Sr  0.375  0.375  0.375  -0.12
Co  0.750  0.750  0.750  1.96
Ru  0.000  0.000  0.000  1.14

=====

VASP calculation (PBE) on an optimized crystal structure of SrCo2Ru.

Output
ΔH_f (0 K): 0.961 eV/atom
Energy relative to the lowest polymorph listed for this composition: 2.98 eV/f.u.
Size of the total moment: 3.14 μB per formula unit
E_tot: -5.331 eV/atom

Cell: 9.180 9.180 9.180 Å, 18.09 18.09 18.09°
Each line ends with the local moment (μB).
Element x y z (fractional)
Co  0.987  0.987  0.987  1.44
Co  0.513  0.513  0.513  1.44
Ru  0.250  0.250  0.250  0.50
Sr  0.750  0.750  0.750  -0.08

=====

VASP calculation (PBE) on an optimized crystal structure of SrCoRu2.

Output
ΔH_f (0 K): 1.002 eV/atom
Energy relative to the lowest polymorph listed for this composition: 2.85 eV/f.u.
Size of the total moment: 4.13 μB per formula unit
E_tot: -5.833 eV/atom

Cell: 4.598 4.598 3.267 Å, 90.00 90.00 90.00°
Each line ends with the local moment (μB).
Element x y z (fractional)
Co  0.000  0.500  0.500  2.05
Ru  0.000  0.000  0.000  1.07
Ru  0.500  0.500  0.000  1.07
Sr  0.500  0.000  0.500  -0.04

=====

VASP calculation (PBE) on an optimized crystal structure of SrCoRu2.

Output
ΔH_f (0 K): 0.290 eV/atom
Energy relative to the lowest polymorph listed for this composition: 0.00 eV/f.u.
Size of the total moment: 1.69 μB per formula unit
E_tot: -6.545 eV/atom

Cell: 4.253 4.253 5.999 Å, 69.21 69.21 60.02°
Each line ends with the local moment (μB).
Element x y z (fractional)
Co  0.691  0.691  0.927  1.59
Ru  0.997  0.997  0.008  0.11
Ru  0.311  0.311  0.067  0.03
Sr  0.500  0.500  0.499  -0.01

=====

VASP calculation (PBE) on an optimized crystal structure of SrCoRu2.

Output
ΔH_f (0 K): 0.852 eV/atom
Energy relative to the lowest polymorph listed for this composition: 2.25 eV/f.u.
Size of the total moment: 3.11 μB per formula unit
E_tot: -5.983 eV/atom

Cell: 3.006 4.725 4.786 Å, 90.00 90.00 90.00°
Each line ends with the local moment (μB).
Element x y z (fractional)
Co  0.000  0.500  0.500  1.65
Ru  0.000  0.000  0.000  0.66
Ru  0.500  0.500  0.000  0.90
Sr  0.500  0.000  0.500  -0.06

=====

VASP calculation (PBE) on an optimized crystal structure of SrCoRu2.

Output
ΔH_f (0 K): 0.774 eV/atom
Energy relative to the lowest polymorph listed for this composition: 1.94 eV/f.u.
Size of the total moment: 1.96 μB per formula unit
E_tot: -6.061 eV/atom

Cell: 4.772 4.772 8.883 Å, 74.42 74.42 90.00°
Each line ends with the local moment (μB).
Element x y z (fractional)
Ru  0.394  0.125  0.250  0.44
Ru  0.356  0.625  0.250  0.47
Ru  0.375  0.606  0.750  0.36
Ru  0.875  0.644  0.750  0.39
Co  0.500  0.500  0.000  1.12
Co  0.250  0.750  0.500  1.12
Sr  0.000  0.000  0.000  -0.01
Sr  0.750  0.250  0.500  -0.01

=====

VASP calculation (PBE) on an optimized crystal structure of SrCoRu2.

Output
ΔH_f (0 K): 0.545 eV/atom
Energy relative to the lowest polymorph listed for this composition: 1.02 eV/f.u.
Size of the total moment: 1.13 μB per formula unit
E_tot: -6.290 eV/atom

Cell: 4.137 2.889 6.285 Å, 76.69 90.00 90.00°
Each line ends with the local moment (μB).
Element x y z (fractional)
Co  0.500  0.904  0.816  1.12
Ru  0.000  0.806  0.012  0.22
Ru  0.500  0.236  0.153  -0.13
Sr  0.000  0.554  0.519  -0.03

=====

VASP calculation (PBE) on an optimized crystal structure of SrCoRu2.

Output
ΔH_f (0 K): 0.946 eV/atom
Energy relative to the lowest polymorph listed for this composition: 2.62 eV/f.u.
Size of the total moment: 0.99 μB per formula unit
E_tot: -5.889 eV/atom

Cell: 5.260 5.260 2.692 Å, 90.00 90.00 115.81°
Each line ends with the local moment (μB).
Element x y z (fractional)
Co  0.000  0.500  0.500  1.50
Ru  0.000  0.000  0.000  -0.19
Ru  0.500  0.500  0.000  -0.19
Sr  0.500  0.000  0.500  -0.02

=====

VASP calculation (PBE) on an optimized crystal structure of SrCoRu2.

Output
ΔH_f (0 K): 0.593 eV/atom
Energy relative to the lowest polymorph listed for this composition: 1.21 eV/f.u.
Size of the total moment: 2.23 μB per formula unit
E_tot: -6.242 eV/atom

Cell: 4.743 4.743 5.701 Å, 76.36 76.36 37.22°
Each line ends with the local moment (μB).
Element x y z (fractional)
Co  0.750  0.750  0.750  1.44
Ru  0.033  0.033  0.904  0.39
Ru  0.467  0.467  0.596  0.39
Sr  0.250  0.250  0.250  0.00

=====

VASP calculation (PBE) on an optimized crystal structure of SrCoRu2.

Output
ΔH_f (0 K): 0.883 eV/atom
Energy relative to the lowest polymorph listed for this composition: 2.37 eV/f.u.
Size of the total moment: 2.53 μB per formula unit
E_tot: -5.952 eV/atom

Cell: 9.501 9.501 9.501 Å, 17.29 17.29 17.29°
Each line ends with the local moment (μB).
Element x y z (fractional)
Co  0.750  0.750  0.750  1.81
Ru  0.013  0.013  0.013  0.37
Ru  0.487  0.487  0.487  0.37
Sr  0.250  0.250  0.250  -0.02

=====

VASP calculation (PBE) on an optimized crystal structure of SrCoRu3.

Output
ΔH_f (0 K): 1.011 eV/atom
Energy relative to the lowest polymorph listed for this composition: 0.00 eV/f.u.
Size of the total moment: 0.00 μB per formula unit
E_tot: -6.312 eV/atom

Cell: 4.560 4.560 4.560 Å, 90.00 90.00 90.00°
Element x y z (fractional)
Ru  0.000  0.500  0.000
Ru  0.000  0.000  0.500
Ru  0.500  0.000  0.000
Co  0.000  0.000  0.000
Sr  0.500  0.500  0.500

=====

VASP calculation (PBE) on an optimized crystal structure of SrYCoRu2.

Output
ΔH_f (0 K): 2.422 eV/atom
Size of the total moment: 0.70 μB per formula unit
E_tot: -4.339 eV/atom

Cell: 4.720 5.310 4.720 Å, 90.00 90.00 90.00°
Each line ends with the local moment (μB).
Element x y z (fractional)
Y  0.000  0.500  0.000  0.02
Ru  0.000  0.000  0.500  -0.45
Ru  0.500  0.000  0.000  -0.44
Co  0.500  0.500  0.500  0.11
Sr  0.000  0.000  0.000  0.01